Crystalline MoSe2BrF at its relaxed geometry, computed with PBE+U.

Cell lengths 4.8598, 4.8598, 5.1225 Å; angles 90.00, 90.00, 90.00 degrees
With the nearest neighbours (Å) after each atom.
Fractional coordinates of all 5 atoms:
Mo 0.0000 0.0000 0.0000  4 Se 2.43, 2 Br 2.56
Se 0.0000 0.5000 0.0000  2 Mo 2.43
Se 0.5000 0.0000 0.0000  2 Mo 2.43
Br 0.0000 0.0000 0.5000  2 Mo 2.56
F 0.5000 0.5000 0.5000  4 Br 3.44, 8 Se 3.53

Properties
E_tot	-16.6	eV for the cell shown
relative energy among the computed polymorphs	0	meV per atom
total moment	0.00	Bohr magnetons per cell